No. 1
This record from the Alexandria database describes crystalline AlHgPb3 at its relaxed geometry. The functional is PBE.

Computed properties:
crystal system: cubic
E_tot: -2.6567 eV per atom
calculated formation energy: 0.377 eV per atom

Unit cell a=5.4963 b=5.4963 c=5.4963 alpha=90.00 beta=90.00 gamma=90.00
With the nearest neighbours (Å) after each atom.
Element x y z (fractional)
Al  0.0000  0.0000  0.0000  6 Pb 2.75
Hg  0.5000  0.5000  0.5000  12 Pb 3.89
Pb  0.0000  0.0000  0.5000  2 Al 2.75
Pb  0.0000  0.5000  0.0000  2 Al 2.75
Pb  0.5000  0.0000  0.0000  2 Al 2.75

***

No. 2
This record from the Alexandria database describes crystalline AlHg2Pb2 at its relaxed geometry. The functional is PBE.

Computed properties:
crystal system: tetragonal
E_tot: -2.0165 eV per atom
calculated formation energy: 0.336 eV per atom

Unit cell a=8.1431 b=8.1431 c=8.1431 alpha=147.96 beta=147.96 gamma=45.95
With the nearest neighbours (Å) after each atom.
Element x y z (fractional)
Al  0.0000  0.0000  0.0000  8 Hg 3.47
Hg  0.4067  0.4067  0.0000  1 Hg 2.80
Hg  0.5933  0.5933  0.0000  1 Hg 2.80
Pb  0.2500  0.7500  0.5000  4 Pb 3.18, 4 Hg 3.25
Pb  0.7500  0.2500  0.5000  4 Pb 3.18, 4 Hg 3.25

***

No. 3
This record from the Alexandria database describes crystalline AlHg2Pb at its relaxed geometry. The functional is PBE.

Computed properties:
crystal system: orthorhombic
E_tot: -1.8323 eV per atom
calculated formation energy: 0.181 eV per atom

Unit cell a=5.6389 b=5.6389 c=3.3099 alpha=90.00 beta=90.00 gamma=108.33
With the nearest neighbours (Å) after each atom.
Element x y z (fractional)
Al  0.0000  0.0000  0.0000  8 Hg 3.27, 2 Pb 3.30, 2 Al 3.31
Hg  0.0000  0.5000  0.5000  4 Pb 3.27, 4 Al 3.27, 4 Hg 3.30-3.31
Hg  0.5000  0.0000  0.5000  4 Pb 3.27, 4 Al 3.27, 4 Hg 3.30-3.31
Pb  0.5000  0.5000  0.0000  8 Hg 3.27, 2 Al 3.30, 2 Pb 3.31

***

No. 4
This record from the Alexandria database describes crystalline AlHg2Pb at its relaxed geometry. The functional is PBE.

Computed properties:
crystal system: trigonal
E_tot: -1.9119 eV per atom
calculated formation energy: 0.102 eV per atom

Unit cell a=9.2301 b=9.2301 c=9.2301 alpha=22.48 beta=22.48 gamma=22.48
With the nearest neighbours (Å) after each atom.
Element x y z (fractional)
Al  0.0000  0.0000  0.0000  6 Hg 2.82-2.84
Hg  0.4041  0.4041  0.4041  3 Al 2.82
Hg  0.5946  0.5946  0.5946  3 Al 2.84
Pb  0.1650  0.1650  0.1650  6 Hg 3.28-3.33, 6 Pb 3.60

***

No. 5
This record from the Alexandria database describes crystalline AlHg4Pb at its relaxed geometry. The functional is PBE.

Computed properties:
crystal system: cubic
E_tot: -1.2001 eV per atom
calculated formation energy: 0.243 eV per atom

Unit cell a=6.0740 b=6.0740 c=6.0740 alpha=60.00 beta=60.00 gamma=60.00
With the nearest neighbours (Å) after each atom.
Element x y z (fractional)
Al  0.0000  0.0000  0.0000  12 Hg 3.56, 4 Pb 3.72
Hg  0.1241  0.6253  0.6253  6 Hg 3.03-3.04
Hg  0.6253  0.1241  0.6253  6 Hg 3.03-3.04
Hg  0.6253  0.6253  0.1241  6 Hg 3.03-3.04
Hg  0.6253  0.6253  0.6253  6 Hg 3.03-3.04
Pb  0.2500  0.2500  0.2500  12 Hg 3.56, 4 Al 3.72

***

No. 6
This record from the Alexandria database describes crystalline AlHgPb3 at its relaxed geometry. The functional is PBE.

Computed properties:
crystal system: cubic
E_tot: -2.3593 eV per atom
calculated formation energy: 0.675 eV per atom

Unit cell a=5.7319 b=5.7319 c=5.7319 alpha=90.00 beta=90.00 gamma=90.00
With the nearest neighbours (Å) after each atom.
Element x y z (fractional)
Al  0.0000  0.0000  0.0000  12 Pb 4.05
Hg  0.5000  0.5000  0.5000  6 Pb 2.87
Pb  0.0000  0.5000  0.5000  2 Hg 2.87
Pb  0.5000  0.0000  0.5000  2 Hg 2.87
Pb  0.5000  0.5000  0.0000  2 Hg 2.87

***

Which value of calculated formation energy does entry 4 give? 0.102 eV per atom